# 1
## ScTc2Mo (PBE)

Data for a relaxed ScTc2Mo crystal.

Structure (POSCAR):
```
ScTc2Mo
1.0
2.787 -4.357 0.000
2.787 4.357 0.000
-1.033 0.000 2.621
Sc Tc Mo
1 2 1
Direct
0.000 0.000 0.000
0.000 0.500 0.500
0.500 0.000 0.500
0.500 0.500 0.000
```

Properties
D(E_F) in states/eV per cell: 3.5
Symmetry: C2/m
Uncorrected energy in eV per cell: -38.0
Distance to the lowest polymorph of the same formula in meV per atom: 158



# 2
## Sc2Tc3Mo (PBE)

Data for a relaxed Sc2Tc3Mo crystal.

Structure (POSCAR):
```
Sc2Tc3Mo
1.0
2.653 1.531 4.285
-2.653 1.531 4.285
0.000 -3.063 4.285
Sc Tc Mo
2 3 1
Direct
0.124 0.124 0.124
0.876 0.876 0.876
0.000 0.500 0.500
0.500 0.000 0.500
0.500 0.500 0.000
0.500 0.500 0.500
```

Properties
D(E_F) in states/eV per cell: 5.1
Symmetry: R-3m
Uncorrected energy in eV per cell: -56.0



Energy of formation for every record listed, in sequence, given in eV/atom: -0.0200, -0.2279.